1.
This record from Alexandria describes a relaxed structure of Rb4CrBr5. The functional is PBE.

* SG: I4 (79)
* formation energy without anion corrections: -13.205 eV per formula unit

The structure in POSCAR format:
```
Rb4CrBr5
1.0
-1.579 -4.717 4.925
-5.348 -5.835 -2.329
4.886 -6.647 0.175
Br Rb Cr
5 4 1
direct
0.437 0.000 0.000
0.086 0.652 0.177
0.738 0.177 0.348
0.264 0.823 0.652
0.916 0.348 0.823
0.598 0.610 0.203
0.208 0.203 0.390
0.411 0.390 0.797
0.802 0.797 0.610
0.050 0.000 0.000
```



2.
This record from Alexandria describes a relaxed structure of NdY2Er6Tm3. The functional is PBE.

* SG: C2/m (12)
* E: -4.85 eV per atom

The structure in POSCAR format:
```
NdY2Er6Tm3
1.0
6.105 0.003 0.013
-3.049 5.289 0.013
-1.040 -1.801 11.505
Nd Er Tm Y
1 6 3 2
direct
0.000 0.000 0.000
0.085 0.419 0.254
0.581 0.915 0.746
0.915 0.581 0.746
0.752 0.752 0.254
0.248 0.248 0.746
0.419 0.085 0.254
0.500 0.500 0.500
0.833 0.167 0.500
0.167 0.833 0.500
0.667 0.333 0.000
0.333 0.667 0.000
```



3.
This record from Alexandria describes a relaxed structure of DySi2TcRh. The functional is PBE.

* SG: I-4m2 (119)
* formation energy without anion corrections: -4.535 eV per formula unit

The structure in POSCAR format:
```
DySi2TcRh
1.0
-1.678 3.784 -0.700
-3.839 -1.700 0.012
2.447 -0.303 5.083
Rh Si Dy Tc
1 2 1 1
direct
0.250 0.750 0.500
0.629 0.629 0.258
0.371 0.371 0.742
0.000 0.000 0.000
0.750 0.250 0.500
```



4.
This record from Alexandria describes a relaxed structure of Y2Fe2Ag. The functional is PBE.

* SG: I4/mmm (139)
* E: -6.47 eV per atom

The structure in POSCAR format:
```
Y2Fe2Ag
1.0
-2.782 2.046 -0.425
-2.037 -2.813 -0.205
-3.553 -0.173 8.186
Fe Ag Y
2 1 2
direct
0.250 0.750 0.500
0.750 0.250 0.500
0.000 0.000 0.000
0.384 0.384 0.231
0.616 0.616 0.769
```